A relaxed structure of UIn3Cl8. Source: Alexandria via LeMat-Bulk, functional PBE.

Unit cell a=7.047 b=7.047 c=7.047 alpha=90.00 beta=90.00 gamma=90.00
Site moments in Bohr magnetons follow the coordinates.
Element x y z (fractional)
Cl (0.225, 0.775, 0.225)  -0.04
Cl (0.775, 0.225, 0.775)  -0.04
Cl (0.225, 0.225, 0.225)  -0.04
Cl (0.775, 0.775, 0.775)  -0.04
Cl (0.775, 0.225, 0.225)  -0.04
Cl (0.775, 0.775, 0.225)  -0.04
Cl (0.225, 0.225, 0.775)  -0.04
Cl (0.225, 0.775, 0.775)  -0.04
In (0.500, 0.000, 0.500)  -0.05
In (0.000, 0.500, 0.500)  -0.05
In (0.500, 0.500, 0.000)  -0.05
U (0.000, 0.000, 0.000)  1.49

Computed properties:
The value obtained for the formation energy (no corrections) is -1.17 eV per atom. The density of states at the Fermi level is 0.67 states/eV per atom. As for the space-group type: Pm-3m (221). As for the total energy: -4.03 eV per atom.


A relaxed structure of VIn3Cl. Source: Alexandria via LeMat-Bulk, functional PBE.

Unit cell a=5.409 b=5.409 c=5.409 alpha=90.00 beta=90.00 gamma=90.00
Site moments in Bohr magnetons follow the coordinates.
Element x y z (fractional)
In (0.000, 0.500, 0.000)  0.15
In (0.500, 0.000, 0.000)  0.15
In (0.000, 0.000, 0.500)  0.15
Cl (0.500, 0.500, 0.500)  0.12
V (0.000, 0.000, 0.000)  2.86

Computed properties:
The value obtained for the formation energy (no corrections) is 0.21 eV per atom. The density of states at the Fermi level is 0.29 states/eV per atom. As for the space-group type: Pm-3m (221). As for the total energy: -3.63 eV per atom.


A relaxed structure of V2In2Cl7. Source: Alexandria via LeMat-Bulk, functional PBE.

Unit cell a=8.075 b=7.195 c=7.195 alpha=114.09 beta=94.98 gamma=94.98
Site moments in Bohr magnetons follow the coordinates.
Element x y z (fractional)
Cl (0.829, 0.570, 0.570)  -0.04
Cl (0.171, 0.430, 0.430)  -0.04
Cl (0.723, 0.052, 0.361)  -0.01
Cl (0.000, 0.000, 0.000)  0.00
Cl (0.277, 0.639, 0.948)  -0.01
Cl (0.277, 0.948, 0.639)  -0.01
Cl (0.723, 0.361, 0.052)  -0.01
In (0.500, 0.323, 0.677)  0.00
In (0.500, 0.677, 0.323)  0.00
V (0.893, 0.270, 0.270)  2.23
V (0.107, 0.730, 0.730)  2.23

Computed properties:
The value obtained for the formation energy (no corrections) is -0.96 eV per atom. The density of states at the Fermi level is 0.51 states/eV per atom. As for the space-group type: C2/m (12). As for the total energy: -4.29 eV per atom.


A relaxed structure of VIn4Cl6. Source: Alexandria via LeMat-Bulk, functional PBE.

Unit cell a=8.310 b=8.310 c=9.232 alpha=90.00 beta=90.00 gamma=90.00
Site moments in Bohr magnetons follow the coordinates.
Element x y z (fractional)
In (0.650, 0.850, 0.250)  0.01
In (0.150, 0.650, 0.750)  0.01
In (0.650, 0.850, 0.750)  0.01
In (0.150, 0.650, 0.250)  0.01
In (0.850, 0.350, 0.250)  0.01
In (0.350, 0.150, 0.750)  0.01
In (0.350, 0.150, 0.250)  0.01
In (0.850, 0.350, 0.750)  0.01
Cl (0.233, 0.361, 0.000)  -0.01
Cl (0.000, 0.000, 0.231)  -0.01
Cl (0.500, 0.500, 0.269)  -0.01
Cl (0.733, 0.139, 0.500)  -0.01
Cl (0.000, 0.000, 0.769)  -0.01
Cl (0.500, 0.500, 0.731)  -0.01
Cl (0.139, 0.267, 0.500)  -0.01
Cl (0.767, 0.639, 0.000)  -0.01
Cl (0.639, 0.233, 0.000)  -0.01
Cl (0.267, 0.861, 0.500)  -0.01
Cl (0.361, 0.767, 0.000)  -0.01
Cl (0.861, 0.733, 0.500)  -0.01
V (0.500, 0.500, 0.000)  2.54
V (0.000, 0.000, 0.500)  2.54

Computed properties:
The value obtained for the formation energy (no corrections) is -0.91 eV per atom. The density of states at the Fermi level is 0.02 states/eV per atom. As for the space-group type: P4/mnc (128). As for the total energy: -3.74 eV per atom.


A relaxed structure of V3InCl. Source: Alexandria via LeMat-Bulk, functional PBE.

Unit cell a=5.173 b=5.173 c=5.173 alpha=90.00 beta=90.00 gamma=90.00
Site moments in Bohr magnetons follow the coordinates.
Element x y z (fractional)
In (0.000, 0.000, 0.000)  -0.10
V (0.000, 0.500, 0.000)  2.61
V (0.500, 0.000, 0.000)  2.61
V (0.000, 0.000, 0.500)  2.61
Cl (0.500, 0.500, 0.500)  0.03

Computed properties:
The value obtained for the formation energy (no corrections) is 1.51 eV per atom. For the energy above the lowest structure with this stoichiometry, the calculation gives 1.116 eV per atom. The density of states at the Fermi level is 3.05 states/eV per atom. As for the space-group type: Pm-3m (221). As for the total energy: -4.87 eV per atom.


A relaxed structure of V3InCl. Source: Alexandria via LeMat-Bulk, functional PBE.

Unit cell a=4.315 b=4.315 c=4.315 alpha=90.00 beta=90.00 gamma=90.00
Site moments in Bohr magnetons follow the coordinates.
Element x y z (fractional)
V (0.000, 0.500, 0.000)  0.32
V (0.500, 0.000, 0.000)  0.32
V (0.000, 0.000, 0.500)  0.32
In (0.500, 0.500, 0.500)  -0.01
Cl (0.000, 0.000, 0.000)  -0.02

Computed properties:
The value obtained for the formation energy (no corrections) is 0.40 eV per atom. For the energy above the lowest structure with this stoichiometry, the calculation gives 0.000 eV per atom. The density of states at the Fermi level is 1.43 states/eV per atom. As for the space-group type: Pm-3m (221). As for the total energy: -5.99 eV per atom.


A relaxed structure of V2In3Cl9. Source: Alexandria via LeMat-Bulk, functional PBE.

Unit cell a=9.246 b=9.246 c=9.246 alpha=81.68 beta=81.68 gamma=81.68
Site moments in Bohr magnetons follow the coordinates.
Element x y z (fractional)
V (0.667, 0.667, 0.667)  1.83
V (0.167, 0.167, 0.167)  1.83
V (0.833, 0.833, 0.833)  1.83
V (0.333, 0.333, 0.333)  1.83
In (0.250, 0.874, 0.626)  0.00
In (0.874, 0.626, 0.250)  0.00
In (0.750, 0.126, 0.374)  0.00
In (0.126, 0.374, 0.750)  0.00
In (0.374, 0.750, 0.126)  0.00
In (0.626, 0.250, 0.874)  0.00
Cl (0.597, 0.760, 0.434)  -0.01
Cl (0.934, 0.260, 0.097)  -0.01
Cl (0.566, 0.403, 0.240)  -0.01
Cl (0.407, 0.093, 0.250)  -0.02
Cl (0.250, 0.407, 0.093)  -0.02
Cl (0.240, 0.566, 0.403)  -0.01
Cl (0.903, 0.066, 0.740)  -0.01
Cl (0.760, 0.434, 0.597)  -0.01
Cl (0.593, 0.907, 0.750)  -0.02
Cl (0.740, 0.903, 0.066)  -0.01
Cl (0.260, 0.097, 0.934)  -0.01
Cl (0.097, 0.934, 0.260)  -0.01
Cl (0.434, 0.597, 0.760)  -0.01
Cl (0.403, 0.240, 0.566)  -0.01
Cl (0.093, 0.250, 0.407)  -0.02
Cl (0.066, 0.740, 0.903)  -0.01
Cl (0.907, 0.750, 0.593)  -0.02
Cl (0.750, 0.593, 0.907)  -0.02

Computed properties:
The value obtained for the formation energy (no corrections) is -1.05 eV per atom. The density of states at the Fermi level is 0.79 states/eV per atom. As for the space-group type: R-3c (167). As for the total energy: -4.13 eV per atom.


A relaxed structure of VInCl2. Source: Alexandria via LeMat-Bulk, functional PBE.

Unit cell a=8.275 b=8.275 c=6.553 alpha=50.85 beta=50.85 gamma=90.00
Site moments in Bohr magnetons follow the coordinates.
Element x y z (fractional)
In (0.000, 0.000, 0.000)  0.09
In (0.750, 0.250, 0.500)  0.09
Cl (0.510, 0.125, 0.250)  0.01
Cl (0.240, 0.625, 0.250)  0.01
Cl (0.375, 0.490, 0.750)  0.01
Cl (0.875, 0.760, 0.750)  0.01
V (0.250, 0.750, 0.500)  2.66
V (0.500, 0.500, 0.000)  2.66

Computed properties:
The value obtained for the formation energy (no corrections) is -0.48 eV per atom. For the energy above the lowest structure with this stoichiometry, the calculation gives 0.182 eV per atom. The density of states at the Fermi level is 0.81 states/eV per atom. As for the space-group type: I-42d (122). As for the total energy: -4.37 eV per atom.


A relaxed structure of VIn2Cl. Source: Alexandria via LeMat-Bulk, functional PBE.

Unit cell a=9.857 b=9.857 c=7.343 alpha=47.84 beta=47.84 gamma=90.00
Site moments in Bohr magnetons follow the coordinates.
Element x y z (fractional)
In (0.375, 0.269, 0.750)  0.02
In (0.875, 0.981, 0.750)  0.02
In (0.019, 0.625, 0.250)  0.02
In (0.731, 0.125, 0.250)  0.02
Cl (0.250, 0.750, 0.500)  -0.04
Cl (0.500, 0.500, 0.000)  -0.04
V (0.750, 0.250, 0.500)  2.46
V (0.000, 0.000, 0.000)  2.46

Computed properties:
The value obtained for the formation energy (no corrections) is 0.17 eV per atom. For the energy above the lowest structure with this stoichiometry, the calculation gives 0.000 eV per atom. The density of states at the Fermi level is 0.95 states/eV per atom. As for the space-group type: I-42d (122). As for the total energy: -3.94 eV per atom.


A relaxed structure of V3InCl8. Source: Alexandria via LeMat-Bulk, functional PBE.

Unit cell a=7.682 b=7.680 c=7.668 alpha=120.82 beta=90.00 gamma=120.01
Site moments in Bohr magnetons follow the coordinates.
Element x y z (fractional)
Cl (0.741, 0.043, 0.789)  -0.06
Cl (0.302, 0.043, 0.789)  -0.06
Cl (0.259, 0.518, 0.211)  -0.06
Cl (0.259, 0.957, 0.211)  -0.06
Cl (0.260, 0.520, 0.785)  -0.04
Cl (0.741, 0.482, 0.789)  -0.06
Cl (0.740, 0.480, 0.215)  -0.04
Cl (0.698, 0.957, 0.211)  -0.06
In (0.000, 0.000, 0.000)  -0.18
V (0.000, 0.500, 0.000)  2.52
V (0.500, 0.500, 0.000)  2.52
V (0.500, 0.000, 0.000)  2.52

Computed properties:
The value obtained for the formation energy (no corrections) is -1.07 eV per atom. As for the space-group type: C2/m (12). As for the total energy: -4.81 eV per atom.